CdIn3I | Alexandria via LeMat-Bulk | PBE | relaxed; V = 36.36 A^3/atom; offset from the most stable computed form = 0.0 kJ/mol of atoms; space group = Pm-3m; formation energy from raw total energies = 0.081 eV per atom
1.0
5.665 0.000 0.000
0.000 5.665 0.000
0.000 0.000 5.665
Cd In I
1 3 1
direct
0.000 0.000 0.000 Cd
0.000 0.000 0.500 In
0.000 0.500 0.000 In
0.500 0.000 0.000 In
0.500 0.500 0.500 I